# CrCd2Ni2O6 PBE+U optimized geometry
# E_tot, eV per formula unit: -56.01
# Crystal system: monoclinic
# Total moment, μB/f.u.: 4.000
# Space-group type: No. 12
data_CrCd2Ni2O6
_chemical_formula_sum 'Cr1 Cd2 Ni2 O6'
_space_group_name_H-M_alt 'P 1'
_space_group_IT_number 1
_cell_length_a 5.2289
_cell_length_b 5.2289
_cell_length_c 5.6560
_cell_angle_alpha 99.28
_cell_angle_beta 99.28
_cell_angle_gamma 118.41
loop_
_space_group_symop_operation_xyz
'x,y,z'
loop_
_atom_site_label
_atom_site_type_symbol
_atom_site_fract_x
_atom_site_fract_y
_atom_site_fract_z
Cr1 Cr 0.0000 0.0000 0.0000
Cd1 Cd 0.1750 0.8250 0.5000
Cd2 Cd 0.8250 0.1750 0.5000
Ni1 Ni 0.3369 0.6631 0.0000
Ni2 Ni 0.6631 0.3369 0.0000
O1 O 0.0537 0.3804 0.2033
O2 O 0.2337 0.2337 0.8035
O3 O 0.3804 0.0537 0.2033
O4 O 0.6196 0.9463 0.7967
O5 O 0.7663 0.7663 0.1965
O6 O 0.9463 0.6196 0.7967